Record 1
Material: Sm12TlFe6
Method: DFT, GGA-PBE
State: optimized geometry

The structure in POSCAR format:
```
Sm12TlFe6
1.0
-0.404 -8.563 0.689
6.374 2.976 4.947
-7.457 3.437 2.557
Sm Fe Tl
12 6 1
Direct
0.495 0.195 0.300 Sm
0.300 0.105 0.805 Sm
0.505 0.805 0.700 Sm
0.195 0.700 0.895 Sm
0.805 0.300 0.105 Sm
0.700 0.505 0.805 Sm
0.805 0.700 0.505 Sm
0.105 0.805 0.300 Sm
0.195 0.300 0.495 Sm
0.300 0.495 0.195 Sm
0.895 0.195 0.700 Sm
0.700 0.895 0.195 Sm
0.500 0.892 0.392 Fe
0.392 0.500 0.892 Fe
0.892 0.392 0.500 Fe
0.500 0.108 0.608 Fe
0.608 0.500 0.108 Fe
0.108 0.608 0.500 Fe
0.000 0.000 0.000 Tl
```

VASP energy (eV per atom): -5.783
Volume (A^3/atom): 25.77
Formation enthalpy at 0 K (kcal/mol of atoms): -0.13
Calculated density (g/cm3): 7.95

Record 2
Material: Sm2TlFe
Method: DFT, GGA-PBE
State: optimized geometry

The structure in POSCAR format:
```
Sm2TlFe
1.0
3.741 0.000 0.000
1.870 3.240 0.000
1.870 1.080 10.004
Tl Sm Fe
1 2 1
Direct
0.000 0.000 0.000 Tl
0.111 0.111 0.666 Sm
0.889 0.889 0.334 Sm
0.500 0.500 0.500 Fe
```

Distance to the lowest polymorph of the same formula (eV/f.u.): 1.17
VASP energy (eV per atom): -4.829
Volume (A^3/atom): 30.31
Formation enthalpy at 0 K (kcal/mol of atoms): 5.48
Calculated density (g/cm3): 7.68

Record 3
Material: SmTm2Fe
Method: DFT, GGA-PBE
State: optimized geometry

The structure in POSCAR format:
```
SmTm2Fe
1.0
3.326 0.000 0.000
0.000 3.326 0.000
0.000 0.000 8.961
Fe Sm Tm
1 1 2
Direct
0.500 0.500 0.000 Fe
0.500 0.500 0.500 Sm
0.000 0.000 0.176 Tm
0.000 0.000 0.824 Tm
```

Distance to the lowest polymorph of the same formula (eV/f.u.): 0.00
VASP energy (eV per atom): -5.498
Volume (A^3/atom): 24.79
Formation enthalpy at 0 K (kcal/mol of atoms): 0.76
Calculated density (g/cm3): 9.11

Record 4
Material: SmTmFe
Method: DFT, GGA-PBE
State: optimized geometry

The structure in POSCAR format:
```
SmTmFe
1.0
-3.334 -4.306 -4.157
6.911 -0.027 0.131
-0.120 -5.017 5.293
Sm Tm Fe
4 4 4
Direct
0.698 0.395 0.887 Sm
0.302 0.605 0.113 Sm
0.198 0.395 0.613 Sm
0.802 0.605 0.387 Sm
0.292 0.084 0.250 Tm
0.208 0.916 0.750 Tm
0.792 0.084 0.250 Tm
0.708 0.916 0.750 Tm
0.591 0.181 0.542 Fe
0.909 0.819 0.042 Fe
0.409 0.819 0.458 Fe
0.091 0.181 0.958 Fe
```

Distance to the lowest polymorph of the same formula (eV/f.u.): 0.00
VASP energy (eV per atom): -5.843
Volume (A^3/atom): 25.00
Formation enthalpy at 0 K (kcal/mol of atoms): 0.95
Calculated density (g/cm3): 8.31

Record 5
Material: SmTmFe
Method: DFT, GGA-PBE
State: optimized geometry

The structure in POSCAR format:
```
SmTmFe
1.0
-2.955 1.273 -0.873
0.806 -0.335 -3.217
-1.470 -6.389 2.023
Fe Sm Tm
1 1 1
Direct
0.663 0.663 0.326 Fe
0.294 0.294 0.588 Sm
0.043 0.043 0.086 Tm
```

Distance to the lowest polymorph of the same formula (eV/f.u.): 0.11
VASP energy (eV per atom): -5.808
Volume (A^3/atom): 23.87
Formation enthalpy at 0 K (kcal/mol of atoms): 1.77
Calculated density (g/cm3): 8.70

Record 6
Material: Sm3TmFe
Method: DFT, GGA-PBE
State: optimized geometry

The structure in POSCAR format:
```
Sm3TmFe
1.0
5.332 0.000 0.000
0.000 5.332 0.000
0.000 0.000 5.332
Sm Tm Fe
3 1 1
Direct
0.000 0.500 0.000 Sm
0.500 0.000 0.000 Sm
0.000 0.000 0.500 Sm
0.500 0.500 0.500 Tm
0.000 0.000 0.000 Fe
```

VASP energy (eV per atom): -5.225
Volume (A^3/atom): 30.32
Formation enthalpy at 0 K (kcal/mol of atoms): 4.46
Calculated density (g/cm3): 7.40

Record 7
Material: Sm2TmFe9
Method: DFT, GGA-PBE
State: optimized geometry

The structure in POSCAR format:
```
Sm2TmFe9
1.0
4.903 0.000 1.459
2.234 4.364 1.459
0.072 0.044 8.727
Fe Sm Tm
9 2 1
Direct
0.422 0.422 0.239 Fe
0.500 0.500 0.500 Fe
0.422 0.918 0.239 Fe
0.333 0.333 0.001 Fe
0.082 0.578 0.761 Fe
0.918 0.422 0.239 Fe
0.667 0.667 0.999 Fe
0.578 0.082 0.761 Fe
0.578 0.578 0.761 Fe
0.141 0.141 0.576 Sm
0.859 0.859 0.424 Sm
0.000 0.000 0.000 Tm
```

VASP energy (eV per atom): -7.534
Volume (A^3/atom): 15.51
Formation enthalpy at 0 K (kcal/mol of atoms): -0.65
Calculated density (g/cm3): 8.67

Record 8
Material: Sm2TmFe
Method: DFT, GGA-PBE
State: optimized geometry

The structure in POSCAR format:
```
Sm2TmFe
1.0
3.429 0.000 0.000
1.714 2.969 0.000
1.714 0.990 10.844
Sm Tm Fe
2 1 1
Direct
0.923 0.923 0.230 Sm
0.077 0.077 0.770 Sm
0.500 0.500 0.500 Tm
0.000 0.000 0.000 Fe
```

VASP energy (eV per atom): -4.993
Volume (A^3/atom): 27.60
Formation enthalpy at 0 K (kcal/mol of atoms): 13.83
Calculated density (g/cm3): 7.90

> VASP energy of number 6 (Sm3TmFe)?

-5.225 eV per atom

> Among the records above, which one has the lowest VASP energy?

Sm2TmFe9